(1)
DFT (PBE-GGA) results for an optimized crystal structure of Tm2SnSe3.

## Properties
**Space-group type**: P-3m1 (164)
**Electronic total energy**: -5.1915 eV per atom

```
Tm2SnSe3
1.0
3.920 0.000 0.000
-1.960 3.395 0.000
0.000 0.000 12.091
Tm Sn Se
2 1 3
direct
0.333 0.667 0.147
0.667 0.333 0.853
0.000 0.000 0.500
0.000 0.000 0.000
0.333 0.667 0.722
0.667 0.333 0.278
```


(2)
DFT (PBE-GGA) results for an optimized crystal structure of TmSn2Se3.

## Properties
**Space-group type**: P-3m1 (164)
**Electronic total energy**: -4.6962 eV per atom

```
TmSn2Se3
1.0
4.025 0.000 0.000
-2.012 3.486 0.000
0.000 0.000 11.686
Tm Sn Se
1 2 3
direct
0.000 0.000 0.000
0.333 0.667 0.662
0.667 0.333 0.338
0.000 0.000 0.500
0.333 0.667 0.137
0.667 0.333 0.863
```


(3)
DFT (PBE-GGA) results for an optimized crystal structure of TmSnSe2.

## Properties
**Space-group type**: P4/mmm (123)
**Electronic total energy**: -4.8224 eV per atom

```
TmSnSe2
1.0
4.155 0.000 0.000
0.000 4.155 0.000
0.000 0.000 5.900
Tm Sn Se
1 1 2
direct
0.000 0.000 0.000
0.500 0.500 0.500
0.000 0.000 0.500
0.500 0.500 0.000
```


(4)
DFT (PBE-GGA) results for an optimized crystal structure of ZnSn2Se4.

## Properties
**Space-group type**: P4_122 (91)
**Electronic total energy**: -3.6627 eV per atom

```
ZnSn2Se4
1.0
8.227 0.000 0.000
0.000 8.227 0.000
0.000 0.000 11.379
Zn Sn Se
4 8 16
direct
0.000 0.248 0.000
0.000 0.752 0.500
0.248 0.000 0.750
0.752 0.000 0.250
0.235 0.235 0.375
0.235 0.765 0.125
0.254 0.500 0.750
0.500 0.254 0.000
0.500 0.746 0.500
0.746 0.500 0.250
0.765 0.235 0.625
0.765 0.765 0.875
0.027 0.238 0.767
0.027 0.762 0.733
0.234 0.487 0.005
0.234 0.513 0.495
0.238 0.027 0.983
0.238 0.973 0.517
0.487 0.234 0.745
0.487 0.766 0.755
0.513 0.234 0.255
0.513 0.766 0.245
0.762 0.027 0.017
0.762 0.973 0.483
0.766 0.487 0.995
0.766 0.513 0.505
0.973 0.238 0.233
0.973 0.762 0.267
```


(5)
DFT (PBE-GGA) results for an optimized crystal structure of Zn3SnSe4.

## Properties
**Space-group type**: I-42m (121)
**Electronic total energy**: -3.2414 eV per atom

```
Zn3SnSe4
1.0
-2.998 2.998 5.960
2.998 -2.998 5.960
2.998 2.998 -5.960
Zn Sn Se
3 1 4
direct
0.000 0.000 0.000
0.250 0.750 0.500
0.750 0.250 0.500
0.500 0.500 0.000
0.083 0.641 0.000
0.359 0.359 0.442
0.641 0.083 0.000
0.917 0.917 0.558
```


(6)
DFT (PBE-GGA) results for an optimized crystal structure of ZrSnSe4.

## Properties
**Space-group type**: Pmn2_1 (31)
**Electronic total energy**: -5.1972 eV per atom

```
ZrSnSe4
1.0
3.792 0.000 0.000
0.000 6.763 0.000
0.000 0.000 13.456
Zr Sn Se
2 2 8
direct
0.000 0.028 0.000
0.500 0.972 0.500
0.000 0.467 0.512
0.500 0.533 0.012
0.000 0.125 0.624
0.000 0.353 0.126
0.000 0.690 0.889
0.000 0.807 0.386
0.500 0.193 0.886
0.500 0.310 0.389
0.500 0.647 0.626
0.500 0.875 0.124
```